## LiSnAu14 (PBE)

Data for crystalline LiSnAu14 at its relaxed geometry.

## Properties
**E**: -3.327 eV/atom
**Calculated formation energy**: -0.09 eV/atom

Structure (POSCAR):
```
LiSnAu14
1.0
-2.011 -0.633 5.495
5.060 -2.574 1.550
3.187 7.488 2.028
Au Sn Li
14 1 1
direct
0.375 0.375 0.000 Au
0.875 0.375 0.000 Au
0.621 0.129 0.251 Au
0.129 0.621 0.749 Au
0.375 0.875 0.000 Au
0.621 0.621 0.251 Au
0.129 0.129 0.749 Au
0.375 0.875 0.500 Au
0.621 0.621 0.749 Au
0.129 0.129 0.251 Au
0.129 0.621 0.251 Au
0.621 0.129 0.749 Au
0.875 0.875 0.000 Au
0.875 0.375 0.500 Au
0.875 0.875 0.500 Sn
0.375 0.375 0.500 Li
```


## Li8SnAu5 (PBE)

Data for crystalline Li8SnAu5 at its relaxed geometry.

## Properties
**E**: -2.948 eV/atom
**Calculated formation energy**: -0.40 eV/atom

Structure (POSCAR):
```
Li8SnAu5
1.0
-4.663 4.569 1.744
-2.675 -6.197 -0.309
4.839 0.320 4.705
Li Au Sn
8 5 1
direct
0.611 0.938 0.864 Li
0.742 0.262 0.342 Li
0.520 0.600 0.258 Li
0.327 0.253 0.389 Li
0.080 0.738 0.480 Li
0.658 0.400 0.920 Li
0.926 0.062 0.673 Li
0.136 0.747 0.074 Li
0.500 0.000 0.500 Au
0.043 0.350 0.130 Au
0.307 0.088 0.957 Au
0.870 0.912 0.220 Au
0.780 0.650 0.693 Au
0.250 0.500 0.750 Sn
```


## Li2SnAu3 (PBE)

Data for crystalline Li2SnAu3 at its relaxed geometry.

## Properties
**E above lowest polymorph**: 62 meV/atom
**E**: -3.317 eV/atom
**Calculated formation energy**: -0.37 eV/atom

Structure (POSCAR):
```
Li2SnAu3
1.0
5.937 0.000 0.000
0.000 5.089 0.459
-2.968 -0.759 7.071
Au Li Sn
6 4 2
direct
0.949 0.924 0.655 Au
0.294 0.576 0.345 Au
0.621 0.250 0.000 Au
0.379 0.750 0.000 Au
0.051 0.076 0.345 Au
0.706 0.424 0.655 Au
0.795 0.571 0.346 Li
0.448 0.929 0.654 Li
0.552 0.071 0.346 Li
0.205 0.429 0.654 Li
0.851 0.750 0.000 Sn
0.149 0.250 0.000 Sn
```


## Li2Sn2Au7 (PBE)

Data for crystalline Li2Sn2Au7 at its relaxed geometry.

## Properties
**E**: -3.330 eV/atom
**Calculated formation energy**: -0.17 eV/atom

Structure (POSCAR):
```
Li2Sn2Au7
1.0
-3.364 -1.779 4.690
3.681 -5.383 -1.516
5.322 1.050 2.654
Li Au Sn
2 7 2
direct
0.811 0.500 0.811 Li
0.189 0.500 0.189 Li
0.959 0.701 0.416 Au
0.416 0.299 0.959 Au
0.000 0.000 0.000 Au
0.474 0.695 0.526 Au
0.041 0.299 0.584 Au
0.526 0.305 0.474 Au
0.584 0.701 0.041 Au
0.721 0.069 0.279 Sn
0.279 0.931 0.721 Sn
```


## LiSn2Au (PBE)

Data for crystalline LiSn2Au at its relaxed geometry.

## Properties
**E above lowest polymorph**: 62 meV/atom
**E**: -3.491 eV/atom
**Calculated formation energy**: -0.19 eV/atom

Structure (POSCAR):
```
LiSn2Au
1.0
0.000 3.509 3.509
3.509 0.000 3.509
3.509 3.509 0.000
Sn Li Au
2 1 1
direct
0.250 0.250 0.250 Sn
0.750 0.750 0.750 Sn
0.000 0.000 0.000 Li
0.500 0.500 0.500 Au
```


## LiSnAu3 (PBE)

Data for crystalline LiSnAu3 at its relaxed geometry.

## Properties
**E above lowest polymorph**: 416 meV/atom
**E**: -3.050 eV/atom
**Calculated formation energy**: 0.10 eV/atom

Structure (POSCAR):
```
LiSnAu3
1.0
4.641 0.000 0.000
0.000 4.641 0.000
0.000 0.000 4.641
Au Sn Li
3 1 1
direct
0.000 0.500 0.000 Au
0.000 0.000 0.500 Au
0.500 0.000 0.000 Au
0.500 0.500 0.500 Sn
0.000 0.000 0.000 Li
```


## Li4Sn3Au2 (PBE)

Data for crystalline Li4Sn3Au2 at its relaxed geometry.

## Properties
**E above lowest polymorph**: 0 meV/atom
**E**: -3.292 eV/atom
**Calculated formation energy**: -0.38 eV/atom

Structure (POSCAR):
```
Li4Sn3Au2
1.0
-0.520 -0.152 4.109
-1.337 -4.719 1.676
7.676 -4.944 0.765
Li Sn Au
4 3 2
direct
0.996 0.002 0.312 Li
0.329 0.342 0.100 Li
0.004 0.998 0.688 Li
0.671 0.658 0.900 Li
0.328 0.337 0.430 Sn
0.000 0.000 0.000 Sn
0.672 0.663 0.570 Sn
0.330 0.345 0.788 Au
0.670 0.655 0.212 Au
```


## Li5SnAu (PBE)

Data for crystalline Li5SnAu at its relaxed geometry.

## Properties
**E above lowest polymorph**: 33 meV/atom
**E**: -2.719 eV/atom
**Calculated formation energy**: -0.31 eV/atom

Structure (POSCAR):
```
Li5SnAu
1.0
4.589 1.229 0.000
-0.331 4.739 0.000
0.000 0.000 5.966
Li Sn Au
5 1 1
direct
0.500 0.000 0.757 Li
0.500 0.000 0.243 Li
0.000 0.500 0.757 Li
0.000 0.500 0.243 Li
0.000 0.000 0.500 Li
0.000 0.000 0.000 Sn
0.500 0.500 0.500 Au
```


## Li6Sn2Au (PBE)

Data for crystalline Li6Sn2Au at its relaxed geometry.

## Properties
**E above lowest polymorph**: 0 meV/atom
**E**: -2.913 eV/atom
**Calculated formation energy**: -0.38 eV/atom

Structure (POSCAR):
```
Li6Sn2Au
1.0
4.476 0.000 0.003
0.000 8.371 0.000
0.000 0.000 8.453
Sn Li Au
4 12 2
direct
0.500 0.855 0.713 Sn
0.000 0.355 0.787 Sn
0.000 0.645 0.213 Sn
0.500 0.145 0.287 Sn
0.000 0.323 0.114 Li
0.500 0.823 0.386 Li
0.000 0.676 0.552 Li
0.500 0.177 0.614 Li
0.500 0.476 0.316 Li
0.500 0.176 0.948 Li
0.000 0.324 0.448 Li
0.000 0.677 0.886 Li
0.500 0.524 0.684 Li
0.500 0.824 0.052 Li
0.000 0.024 0.816 Li
0.000 0.976 0.184 Li
0.000 0.000 0.500 Au
0.500 0.500 0.000 Au
```


## Li2Sn3Au3 (PBE)

Data for crystalline Li2Sn3Au3 at its relaxed geometry.

## Properties
**E above lowest polymorph**: 68 meV/atom
**E**: -3.493 eV/atom
**Calculated formation energy**: -0.28 eV/atom

Structure (POSCAR):
```
Li2Sn3Au3
1.0
4.717 0.000 0.000
-2.358 4.504 0.000
0.000 0.000 15.539
Li Sn Au
4 6 6
direct
0.750 0.501 0.919 Li
0.750 0.501 0.581 Li
0.250 0.499 0.081 Li
0.250 0.499 0.419 Li
0.691 0.382 0.250 Sn
0.923 0.845 0.400 Sn
0.077 0.155 0.900 Sn
0.309 0.618 0.750 Sn
0.923 0.845 0.100 Sn
0.077 0.155 0.600 Sn
0.594 0.188 0.075 Au
0.626 0.252 0.750 Au
0.406 0.812 0.575 Au
0.594 0.188 0.425 Au
0.374 0.748 0.250 Au
0.406 0.812 0.925 Au
```


## Li5SnAu8 (PBE)

Data for crystalline Li5SnAu8 at its relaxed geometry.

## Properties
**E**: -3.199 eV/atom
**Calculated formation energy**: -0.36 eV/atom

Structure (POSCAR):
```
Li5SnAu8
1.0
6.851 -0.003 0.006
-2.321 6.446 -0.006
-2.208 -3.261 5.606
Au Sn Li
8 1 5
direct
0.344 0.258 0.403 Au
0.747 0.257 0.341 Au
0.084 0.743 0.490 Au
0.659 0.405 0.916 Au
0.510 0.595 0.253 Au
0.144 0.742 0.086 Au
0.597 0.942 0.856 Au
0.914 0.058 0.656 Au
0.250 0.500 0.750 Sn
0.868 0.905 0.214 Li
0.500 0.000 0.500 Li
0.308 0.095 0.963 Li
0.786 0.654 0.692 Li
0.037 0.346 0.132 Li
```


## LiSn3Au (PBE)

Data for crystalline LiSn3Au at its relaxed geometry.

## Properties
**E above lowest polymorph**: 0 meV/atom
**E**: -3.571 eV/atom
**Calculated formation energy**: -0.13 eV/atom

Structure (POSCAR):
```
LiSn3Au
1.0
4.056 0.576 0.000
-0.904 6.507 0.000
0.000 0.000 8.862
Sn Au Li
6 2 2
direct
0.998 0.275 0.979 Sn
0.502 0.681 0.750 Sn
0.002 0.725 0.479 Sn
0.002 0.725 0.021 Sn
0.998 0.275 0.521 Sn
0.498 0.319 0.250 Sn
0.498 0.253 0.750 Au
0.502 0.747 0.250 Au
0.000 0.019 0.250 Li
0.000 0.981 0.750 Li
```


## Li2Sn2Au (PBE)

Data for crystalline Li2Sn2Au at its relaxed geometry.

## Properties
**E**: -3.375 eV/atom
**Calculated formation energy**: -0.35 eV/atom

Structure (POSCAR):
```
Li2Sn2Au
1.0
4.606 0.000 0.000
2.303 5.154 -0.267
2.303 0.170 8.814
Li Au Sn
4 2 4
direct
0.455 0.378 0.712 Li
0.545 0.622 0.288 Li
0.645 0.849 0.862 Li
0.355 0.151 0.138 Li
0.169 0.939 0.723 Au
0.831 0.061 0.277 Au
0.837 0.780 0.547 Sn
0.139 0.695 0.026 Sn
0.163 0.220 0.453 Sn
0.861 0.305 0.974 Sn
```


## Li2SnAu2 (PBE)

Data for crystalline Li2SnAu2 at its relaxed geometry.

## Properties
**E above lowest polymorph**: 185 meV/atom
**E**: -3.158 eV/atom
**Calculated formation energy**: -0.28 eV/atom

Structure (POSCAR):
```
Li2SnAu2
1.0
3.931 0.000 0.000
0.000 3.931 0.000
1.965 1.965 6.316
Au Li Sn
2 2 1
direct
0.611 0.611 0.777 Au
0.389 0.389 0.223 Au
0.250 0.750 0.500 Li
0.750 0.250 0.500 Li
0.000 0.000 0.000 Sn
```


## LiSn2Au4 (PBE)

Data for crystalline LiSn2Au4 at its relaxed geometry.

## Properties
**E above lowest polymorph**: 10 meV/atom
**E**: -3.481 eV/atom
**Calculated formation energy**: -0.19 eV/atom

Structure (POSCAR):
```
LiSn2Au4
1.0
-4.598 1.962 4.562
2.687 -5.784 2.281
5.470 5.756 -0.015
Au Li Sn
8 2 4
direct
0.324 0.082 0.344 Au
0.015 0.283 0.351 Au
0.512 0.770 0.844 Au
0.234 0.467 0.148 Au
0.318 0.086 0.851 Au
0.739 0.981 0.657 Au
0.926 0.668 0.157 Au
0.931 0.664 0.648 Au
0.983 0.982 0.000 Li
0.268 0.768 0.500 Li
0.625 0.375 0.750 Sn
0.625 0.875 0.250 Sn
0.624 0.375 0.250 Sn
0.125 0.375 0.750 Sn
```


## Li2SnAu6 (PBE)

Data for crystalline Li2SnAu6 at its relaxed geometry.

## Properties
**E above lowest polymorph**: 32 meV/atom
**E**: -3.343 eV/atom
**Calculated formation energy**: -0.29 eV/atom

Structure (POSCAR):
```
Li2SnAu6
1.0
-3.604 -0.104 -3.440
-4.158 -5.789 4.750
-1.520 8.284 1.558
Au Li Sn
12 4 2
direct
0.001 0.166 0.012 Au
0.501 0.666 0.512 Au
0.999 0.488 0.334 Au
0.501 0.012 0.166 Au
0.499 0.334 0.488 Au
0.499 0.988 0.834 Au
0.999 0.834 0.988 Au
0.246 0.918 0.418 Au
0.254 0.582 0.082 Au
0.754 0.082 0.582 Au
0.001 0.512 0.666 Au
0.746 0.418 0.918 Au
0.000 0.836 0.664 Li
0.500 0.336 0.164 Li
0.500 0.664 0.836 Li
0.000 0.164 0.336 Li
0.250 0.250 0.750 Sn
0.750 0.750 0.250 Sn
```


## Li3SnAu6 (PBE)

Data for crystalline Li3SnAu6 at its relaxed geometry.

## Properties
**E**: -3.225 eV/atom
**Calculated formation energy**: -0.28 eV/atom

Structure (POSCAR):
```
Li3SnAu6
1.0
5.496 0.000 0.000
0.000 8.640 -0.669
0.000 -2.580 8.273
Au Li Sn
12 6 2
direct
0.056 0.802 0.198 Au
0.198 0.326 0.382 Au
0.799 0.951 0.521 Au
0.698 0.382 0.326 Au
0.299 0.049 0.479 Au
0.299 0.521 0.951 Au
0.198 0.618 0.674 Au
0.123 0.004 0.996 Au
0.556 0.198 0.802 Au
0.698 0.674 0.618 Au
0.799 0.479 0.049 Au
0.623 0.996 0.004 Au
0.356 0.305 0.102 Li
0.550 0.379 0.621 Li
0.050 0.621 0.379 Li
0.856 0.695 0.898 Li
0.856 0.102 0.305 Li
0.356 0.898 0.695 Li
0.050 0.200 0.800 Sn
0.550 0.800 0.200 Sn
```


## LiSn2Au2 (PBE)

Data for crystalline LiSn2Au2 at its relaxed geometry.

## Properties
**E above lowest polymorph**: 87 meV/atom
**E**: -3.538 eV/atom
**Calculated formation energy**: -0.24 eV/atom

Structure (POSCAR):
```
LiSn2Au2
1.0
7.344 0.000 0.000
0.000 7.344 0.000
0.000 0.000 4.058
Sn Au Li
4 4 2
direct
0.832 0.332 0.500 Sn
0.332 0.168 0.500 Sn
0.668 0.832 0.500 Sn
0.168 0.668 0.500 Sn
0.642 0.142 0.000 Au
0.858 0.642 0.000 Au
0.358 0.858 0.000 Au
0.142 0.358 0.000 Au
0.500 0.500 0.000 Li
0.000 0.000 0.000 Li
```


## Li2Sn2Au (PBE)

Data for crystalline Li2Sn2Au at its relaxed geometry.

## Properties
**E**: -3.104 eV/atom
**Calculated formation energy**: -0.08 eV/atom

Structure (POSCAR):
```
Li2Sn2Au
1.0
3.946 0.000 0.000
0.000 3.946 0.000
1.973 1.973 6.762
Li Au Sn
2 1 2
direct
0.250 0.750 0.500 Li
0.750 0.250 0.500 Li
0.000 0.000 0.000 Au
0.601 0.601 0.799 Sn
0.399 0.399 0.201 Sn
```


## LiSn3Au4 (PBE)

Data for crystalline LiSn3Au4 at its relaxed geometry.

## Properties
**E**: -3.613 eV/atom
**Calculated formation energy**: -0.23 eV/atom

Structure (POSCAR):
```
LiSn3Au4
1.0
-2.450 -2.861 -2.223
3.114 0.961 -4.670
4.959 -3.730 3.637
Li Au Sn
1 4 3
direct
0.500 0.000 0.000 Li
0.637 0.676 0.274 Au
0.363 0.324 0.726 Au
0.891 0.990 0.782 Au
0.109 0.010 0.218 Au
0.286 0.753 0.573 Sn
0.000 0.500 0.000 Sn
0.714 0.247 0.427 Sn
```


## LiSn2Au (PBE)

Data for crystalline LiSn2Au at its relaxed geometry.

## Properties
**E above lowest polymorph**: 94 meV/atom
**E**: -3.458 eV/atom
**Calculated formation energy**: -0.16 eV/atom

Structure (POSCAR):
```
LiSn2Au
1.0
-3.979 -1.741 0.541
1.416 -2.132 3.550
-3.799 5.524 7.530
Sn Li Au
4 2 2
direct
0.130 0.625 0.250 Sn
0.875 0.870 0.750 Sn
0.375 0.380 0.750 Sn
0.620 0.125 0.250 Sn
0.250 0.750 0.500 Li
0.500 0.500 0.000 Li
0.000 0.000 0.000 Au
0.750 0.250 0.500 Au
```